Entry 1:
VASP calculation (PBE) on a geometry-optimized PrNbAlIr2 structure. Values from VASP.

Cell and atoms, written as Quantum ESPRESSO input:
```
&SYSTEM
  ibrav = 0, nat = 10, ntyp = 4
/
ATOMIC_SPECIES
Pr 140.91 Pr.upf
Nb 92.91 Nb.upf
Al 26.98 Al.upf
Ir 192.22 Ir.upf
CELL_PARAMETERS angstrom
4.2120 0.0000 0.0000
0.0000 4.2120 0.0000
0.0000 0.0000 11.2771
ATOMIC_POSITIONS crystal
Pr 0.0000 0.0000 0.0000
Pr 0.5000 0.5000 0.5000
Nb 0.0000 0.5000 0.7500
Nb 0.5000 0.0000 0.2500
Al 0.0000 0.5000 0.2500
Al 0.5000 0.0000 0.7500
Ir 0.0000 0.0000 0.3853
Ir 0.0000 0.0000 0.6147
Ir 0.5000 0.5000 0.1147
Ir 0.5000 0.5000 0.8853
```

- crystal system = tetragonal
- volume (Å³/cell) = 200.1
- ΔH_f (0 K) (eV/atom) = -0.7131
- SG = I-4m2, No. 119
- magnetic moment (μB/f.u.) = 0.00
- DFT total energy (Ry per atom) = -0.586
- mass density (g/cm3) = 10.71



Entry 2:
VASP calculation (PBE) on a geometry-optimized Ho2CdRh structure. Values from VASP.

Cell and atoms, written as Quantum ESPRESSO input:
```
&SYSTEM
  ibrav = 0, nat = 4, ntyp = 3
/
ATOMIC_SPECIES
Ho 164.93 Ho.upf
Cd 112.41 Cd.upf
Rh 102.91 Rh.upf
CELL_PARAMETERS angstrom
3.4916 0.0000 0.0000
0.0000 3.4916 0.0000
0.0000 0.0000 7.5218
ATOMIC_POSITIONS crystal
Ho 0.0000 0.0000 0.2171
Ho 0.0000 0.0000 0.7829
Cd 0.5000 0.5000 0.5000
Rh 0.5000 0.5000 0.0000
```

- crystal system = tetragonal
- volume (Å³/cell) = 91.7
- ΔH_f (0 K) (eV/atom) = -0.6327
- SG = P4/mmm, No. 123
- magnetic moment (μB/f.u.) = 0.00
- DFT total energy (Ry per atom) = -0.367
- E above lowest polymorph (meV per atom) = 0.0
- mass density (g/cm3) = 9.87



Entry 3:
VASP calculation (PBE) on a geometry-optimized SbTe4Pb3 structure. Values from VASP.

Cell and atoms, written as Quantum ESPRESSO input:
```
&SYSTEM
  ibrav = 0, nat = 16, ntyp = 3
/
ATOMIC_SPECIES
Sb 121.76 Sb.upf
Te 127.60 Te.upf
Pb 207.20 Pb.upf
CELL_PARAMETERS angstrom
6.5324 0.0000 0.0000
0.0000 6.5324 0.0000
0.0000 0.0000 12.8823
ATOMIC_POSITIONS crystal
Sb 0.0000 0.0000 0.0000
Sb 0.5000 0.5000 0.5000
Te 0.0000 0.0000 0.2407
Te 0.0000 0.0000 0.7593
Te 0.0000 0.5000 0.0000
Te 0.0000 0.5000 0.5000
Te 0.5000 0.0000 0.0000
Te 0.5000 0.0000 0.5000
Te 0.5000 0.5000 0.2593
Te 0.5000 0.5000 0.7407
Pb 0.0000 0.0000 0.5000
Pb 0.0000 0.5000 0.2500
Pb 0.0000 0.5000 0.7500
Pb 0.5000 0.0000 0.2500
Pb 0.5000 0.0000 0.7500
Pb 0.5000 0.5000 0.0000
```

- crystal system = tetragonal
- volume (Å³/cell) = 549.7
- SG = I4/mmm, No. 139
- uncorrected formation energy (eV/atom) = -0.275
- magnetic moment (μB/f.u.) = 0.00
- DFT total energy (Ry per atom) = -0.276
- mass density (g/cm3) = 7.57



Entry 4:
VASP calculation (PBE) on a geometry-optimized RbNp2IrO8 structure. Values from VASP.

Cell and atoms, written as Quantum ESPRESSO input:
```
&SYSTEM
  ibrav = 0, nat = 12, ntyp = 4
/
ATOMIC_SPECIES
Rb 85.47 Rb.upf
Np 237.00 Np.upf
Ir 192.22 Ir.upf
O 16.00 O.upf
CELL_PARAMETERS angstrom
5.0523 0.0000 0.0000
0.3262 5.0474 0.0000
0.3840 0.3510 7.0958
ATOMIC_POSITIONS crystal
Rb 0.0000 0.0000 0.0000
Np 0.4780 0.4780 0.2607
Np 0.5220 0.5220 0.7393
Ir 0.0000 0.0000 0.5000
O 0.2118 0.7810 0.6913
O 0.2211 0.7900 0.3082
O 0.2835 0.2857 0.4822
O 0.3431 0.3469 0.9592
O 0.6569 0.6531 0.0408
O 0.7165 0.7143 0.5178
O 0.7789 0.2100 0.6918
O 0.7882 0.2190 0.3087
```

- crystal system = triclinic
- volume (Å³/cell) = 180.9
- SG = P-1, No. 2
- uncorrected formation energy (eV/atom) = -2.027
- magnetic moment (μB/f.u.) = 1.99
- DFT total energy (Ry per atom) = -0.611
- mass density (g/cm3) = 8.07



Entry 5:
VASP calculation (PBE) on a geometry-optimized CrNiP3 structure. Values from VASP.

Cell and atoms, written as Quantum ESPRESSO input:
```
&SYSTEM
  ibrav = 0, nat = 5, ntyp = 3
/
ATOMIC_SPECIES
Cr 52.00 Cr.upf
Ni 58.69 Ni.upf
P 30.97 P.upf
CELL_PARAMETERS angstrom
4.3677 0.0000 0.0000
0.0000 4.3677 0.0000
0.0000 0.0000 4.3677
ATOMIC_POSITIONS crystal
Cr 0.0000 0.0000 0.0000
Ni 0.5000 0.5000 0.5000
P 0.0000 0.0000 0.5000
P 0.0000 0.5000 0.0000
P 0.5000 0.0000 0.0000
```

- crystal system = cubic
- volume (Å³/cell) = 83.3
- ΔH_f (0 K) (eV/atom) = 0.6787
- SG = Pm-3m, No. 221
- magnetic moment (μB/f.u.) = 0.00
- DFT total energy (Ry per atom) = -0.415
- E above lowest polymorph (meV per atom) = 0.0
- mass density (g/cm3) = 4.06



Entry 6:
VASP calculation (PBE) on a geometry-optimized NdFeI structure. Values from VASP.

Cell and atoms, written as Quantum ESPRESSO input:
```
&SYSTEM
  ibrav = 0, nat = 6, ntyp = 3
/
ATOMIC_SPECIES
Nd 144.24 Nd.upf
Fe 55.84 Fe.upf
I 126.90 I.upf
CELL_PARAMETERS angstrom
2.0261 1.1698 12.5847
-2.0261 1.1698 12.5847
0.0000 -2.3395 12.5847
ATOMIC_POSITIONS crystal
Nd 0.0535 0.0535 0.0535
Nd 0.9465 0.9465 0.9465
Fe 0.3342 0.3342 0.3342
Fe 0.6658 0.6658 0.6658
I 0.2207 0.2207 0.2207
I 0.7793 0.7793 0.7793
```

- crystal system = trigonal
- volume (Å³/cell) = 179.0
- SG = R-3m, No. 166
- uncorrected formation energy (eV/atom) = -0.647
- magnetic moment (μB/f.u.) = 1.17
- DFT total energy (Ry per atom) = -0.410
- mass density (g/cm3) = 6.07



Entry 7:
VASP calculation (PBE) on a geometry-optimized Na10B17C3 structure. Values from VASP.

Cell and atoms, written as Quantum ESPRESSO input:
```
&SYSTEM
  ibrav = 0, nat = 30, ntyp = 3
/
ATOMIC_SPECIES
Na 22.99 Na.upf
B 10.81 B.upf
C 12.01 C.upf
CELL_PARAMETERS angstrom
5.3099 0.0000 0.0000
0.0000 8.6753 0.0000
-2.6535 0.0000 7.1229
ATOMIC_POSITIONS crystal
Na 0.0000 0.2455 0.0000
Na 0.0000 0.7545 0.0000
Na 0.2017 0.2528 0.4000
Na 0.2017 0.7472 0.4000
Na 0.4011 0.2501 0.7998
Na 0.4011 0.7499 0.7998
Na 0.6011 0.2470 0.1997
Na 0.6011 0.7530 0.1997
Na 0.7997 0.2541 0.6006
Na 0.7997 0.7459 0.6006
B 0.0490 0.0000 0.7892
B 0.0640 0.5000 0.8118
B 0.1410 0.5000 0.6046
B 0.1660 0.0000 0.5909
B 0.2300 0.5000 0.1983
B 0.3337 0.0000 0.0080
B 0.3564 0.5000 0.0114
B 0.4541 0.5000 0.5910
B 0.5211 0.0000 0.4006
B 0.5431 0.5000 0.3876
B 0.6595 0.0000 0.0091
B 0.6817 0.5000 0.0116
B 0.7244 0.0000 0.7904
B 0.7366 0.5000 0.7958
B 0.8511 0.0000 0.4022
B 0.8694 0.5000 0.3888
B 0.9740 0.0000 0.2101
C 0.2657 0.0000 0.2049
C 0.4614 0.0000 0.5954
C 0.9368 0.5000 0.1999
```

- crystal system = monoclinic
- volume (Å³/cell) = 328.1
- ΔH_f (0 K) (eV/atom) = 0.2228
- SG = Pm, No. 6
- magnetic moment (μB/f.u.) = 0.00
- DFT total energy (Ry per atom) = -0.362
- E above lowest polymorph (meV per atom) = 17.9
- mass density (g/cm3) = 2.28



Entry 8:
VASP calculation (PBE) on a geometry-optimized Al2AsCl structure. Values from VASP.

Cell and atoms, written as Quantum ESPRESSO input:
```
&SYSTEM
  ibrav = 0, nat = 4, ntyp = 3
/
ATOMIC_SPECIES
Al 26.98 Al.upf
As 74.92 As.upf
Cl 35.45 Cl.upf
CELL_PARAMETERS angstrom
3.0023 0.0000 0.0000
0.0000 3.0023 0.0000
0.0000 0.0000 9.1994
ATOMIC_POSITIONS crystal
Al 0.0000 0.0000 0.0000
Al 0.5000 0.5000 0.2031
As 0.0000 0.0000 0.4053
Cl 0.5000 0.5000 0.8239
```

- crystal system = tetragonal
- volume (Å³/cell) = 82.9
- SG = P4mm, No. 99
- uncorrected formation energy (eV/atom) = -0.162
- magnetic moment (μB/f.u.) = 0.00
- DFT total energy (Ry per atom) = -0.269
- E above lowest polymorph (meV per atom) = 161.2
- mass density (g/cm3) = 3.29



Q: The highest mass density belongs to which entry?
A: PrNbAlIr2



Q: Which value of volume does entry 3 give?
A: 549.7 Å³/cell